[1]
VASP calculation (PBE) on a geometry-optimized Ac2GaAg6 structure.

## Properties
Energy, eV for the cell shown: -30.32

a b c (Å): 6.2437 6.2437 6.2389
angles (deg): 90.00 90.00 120.00
Closest atoms and distances in Å follow each position.
Space group P-3m1 (No. 164)
Symmetry-distinct sites (fractional):
Ac1 0.3333 0.6667 0.3454 (multiplicity 2)  12 Ag 3.31-3.64
Ga1 0.0000 0.0000 0.5000 (multiplicity 1)  6 Ag 2.81
Ag1 0.1769 0.3538 0.8289 (multiplicity 6)  1 Ga 2.81, 4 Ag 2.87-2.93

***

[2]
VASP calculation (PBE) on a geometry-optimized Ac2Ga7Ag structure.

## Properties
Energy, eV for the cell shown: -37.10

a b c (Å): 4.5738 4.5738 10.5421
angles (deg): 90.00 90.00 90.00
Closest atoms and distances in Å follow each position.
Space group P-4m2 (No. 115)
Symmetry-distinct sites (fractional):
Ac1 0.0000 0.5000 0.2496 (multiplicity 2)  14 Ga 3.47-3.49, 2 Ag 3.49
Ga1 0.0000 0.0000 0.0000 (multiplicity 1)  4 Ga 2.67
Ga2 0.0000 0.0000 0.5000 (multiplicity 1)  4 Ga 2.66
Ga3 0.0000 0.5000 0.6284 (multiplicity 2)  5 Ga 2.54-2.66
Ga4 0.0000 0.5000 0.8698 (multiplicity 2)  3 Ga 2.54-2.67, 2 Ag 2.67
Ga5 0.5000 0.5000 0.5000 (multiplicity 1)  4 Ga 2.66
Ag1 0.5000 0.5000 0.0000 (multiplicity 1)  4 Ga 2.67

***

[3]
VASP calculation (PBE) on a geometry-optimized AcGaAg4 structure.

## Properties
Energy, eV for the cell shown: -78.63
ΔE to the lowest computed polymorph, eV per atom: 0.000

a b c (Å): 8.0851 8.0851 8.0851
angles (deg): 90.00 90.00 90.00
Closest atoms and distances in Å follow each position.
Space group F-43m (No. 216)
Symmetry-distinct sites (fractional):
Ac1 0.0000 0.0000 0.0000 (multiplicity 4)  12 Ag 3.35, 4 Ga 3.50
Ga1 0.2500 0.2500 0.7500 (multiplicity 4)  12 Ag 3.35, 4 Ac 3.50
Ag1 0.1243 0.1243 0.3757 (multiplicity 16)  6 Ag 2.84-2.88

***

[4]
VASP calculation (PBE) on a geometry-optimized AcGa12Ag4 structure.

## Properties
Energy, eV for the cell shown: -103.96

a b c (Å): 9.0495 9.0495 9.0495
angles (deg): 90.00 90.00 90.00
Closest atoms and distances in Å follow each position.
Space group Im-3 (No. 204)
Symmetry-distinct sites (fractional):
Ac1 0.0000 0.0000 0.0000 (multiplicity 2)  12 Ga 3.50, 8 Ag 3.92
Ga1 0.0000 0.1477 0.3575 (multiplicity 24)  2 Ga 2.58-2.67, 2 Ag 2.63
Ag1 0.2500 0.2500 0.2500 (multiplicity 8)  6 Ga 2.63

***

[5]
VASP calculation (PBE) on a geometry-optimized Ac2Ga2Ag structure.

## Properties
Energy, eV for the cell shown: -77.69

a b c (Å): 11.4851 4.7954 11.6885
angles (deg): 90.00 118.39 90.00
Closest atoms and distances in Å follow each position.
Space group C2/m (No. 12)
Symmetry-distinct sites (fractional):
Ac1 0.0886 0.0000 0.3910 (multiplicity 4)  6 Ga 3.33-3.40, 2 Ag 3.47
Ac2 0.2011 0.5000 0.1633 (multiplicity 4)  4 Ag 3.34-3.42, 7 Ga 3.37-3.61
Ga1 0.0639 0.0000 0.9350 (multiplicity 4)  1 Ga 2.57, 2 Ag 2.76
Ga2 0.1203 0.5000 0.6059 (multiplicity 4)  1 Ga 2.69, 1 Ag 2.85
Ag1 0.0973 0.5000 0.8377 (multiplicity 4)  3 Ga 2.76-2.85

***

[6]
VASP calculation (PBE) on a geometry-optimized Ac3GaAg structure.

## Properties
Energy, eV for the cell shown: -152.50
ΔE to the lowest computed polymorph, eV per atom: 0.098

a b c (Å): 14.4888 9.3761 12.2372
angles (deg): 90.00 119.49 90.00
Closest atoms and distances in Å follow each position.
Space group C2/c (No. 15)
Symmetry-distinct sites (fractional):
Ac1 0.0560 0.1862 0.0798 (multiplicity 8)  2 Ag 3.08-3.39, 1 Ga 3.43
Ac2 0.1367 0.3499 0.7871 (multiplicity 8)  2 Ga 3.14-3.22, 2 Ag 3.35-3.38
Ac3 0.2462 0.0603 0.4194 (multiplicity 8)  3 Ga 3.28-3.40, 2 Ag 3.28-3.35
Ga1 0.2073 0.1176 0.6584 (multiplicity 8)  6 Ac 3.14-3.43
Ag1 0.0000 0.0490 0.7500 (multiplicity 4)  6 Ac 3.28-3.39
Ag2 0.0000 0.5000 0.0000 (multiplicity 4)  6 Ac 3.08-3.38

***

[7]
VASP calculation (PBE) on a geometry-optimized Ac2Ga5Ag12 structure.

## Properties
Energy, eV for the cell shown: -183.17

a b c (Å): 9.7525 9.7525 14.0301
angles (deg): 90.00 90.00 120.00
Closest atoms and distances in Å follow each position.
Space group R-3m (No. 166, hexagonal axes)
Symmetry-distinct sites (fractional):
Ac1 0.0000 0.0000 0.1611 (multiplicity 6)  15 Ag 3.44-3.77, 4 Ga 3.45-3.71
Ga1 0.0000 0.0000 0.4071 (multiplicity 6)  1 Ga 2.61
Ga2 0.0000 0.5000 0.0000 (multiplicity 9)  8 Ag 2.77-2.81, 2 Ga 3.00
Ag1 0.0000 0.2978 0.5000 (multiplicity 18)  2 Ga 2.77, 6 Ag 2.90-2.94
Ag2 0.0042 0.5021 0.3482 (multiplicity 18)  3 Ga 2.81-3.05, 6 Ag 2.88-2.94

***

[8]
VASP calculation (PBE) on a geometry-optimized AcGa2Ag structure.

## Properties
Energy, eV for the cell shown: -44.13
ΔE to the lowest computed polymorph, eV per atom: 0.033

a b c (Å): 4.4960 4.4960 16.7754
angles (deg): 90.00 90.00 120.00
Closest atoms and distances in Å follow each position.
Space group R-3m (No. 166, hexagonal axes)
Symmetry-distinct sites (fractional):
Ac1 0.0000 0.0000 0.0000 (multiplicity 3)  8 Ga 3.30-3.56
Ga1 0.0000 0.0000 0.2123 (multiplicity 6)  3 Ag 2.71, 3 Ga 3.01
Ag1 0.0000 0.0000 0.5000 (multiplicity 3)  6 Ga 2.71

***

[9]
VASP calculation (PBE) on a geometry-optimized Ac3Ga3Ag structure.

## Properties
Energy, eV for the cell shown: -110.33

a b c (Å): 11.5652 4.7975 15.6769
angles (deg): 90.00 110.76 90.00
Closest atoms and distances in Å follow each position.
Space group C2/m (No. 12)
Symmetry-distinct sites (fractional):
Ac1 0.0282 0.0000 0.2729 (multiplicity 4)  6 Ga 3.34-3.41, 2 Ag 3.45
Ac2 0.1771 0.5000 0.1144 (multiplicity 4)  4 Ag 3.35-3.44, 7 Ga 3.36-3.63
Ac3 0.1811 0.0000 0.5745 (multiplicity 4)  7 Ga 3.36-3.40
Ga1 0.0270 0.5000 0.4244 (multiplicity 4)  2 Ga 2.66-2.69
Ga2 0.0743 0.0000 0.9550 (multiplicity 4)  1 Ga 2.58, 2 Ag 2.76
Ga3 0.1803 0.5000 0.7247 (multiplicity 4)  1 Ga 2.69, 1 Ag 2.85
Ag1 0.1210 0.5000 0.8865 (multiplicity 4)  3 Ga 2.76-2.85

***

[10]
VASP calculation (PBE) on a geometry-optimized AcGa2Ag structure.

## Properties
Energy, eV for the cell shown: -56.33
ΔE to the lowest computed polymorph, eV per atom: 0.189

a b c (Å): 7.2599 7.2599 7.2599
angles (deg): 90.00 90.00 90.00
Closest atoms and distances in Å follow each position.
Space group Fm-3m (No. 225)
Symmetry-distinct sites (fractional):
Ac1 0.0000 0.0000 0.0000 (multiplicity 4)  8 Ga 3.14
Ga1 0.2500 0.2500 0.2500 (multiplicity 8)  4 Ac 3.14, 4 Ag 3.14
Ag1 0.0000 0.0000 0.5000 (multiplicity 4)  8 Ga 3.14

***

[11]
VASP calculation (PBE) on a geometry-optimized AcGa2Ag6 structure.

## Properties
Energy, eV for the cell shown: -26.71
ΔE to the lowest computed polymorph, eV per atom: 0.257

a b c (Å): 5.8587 5.8587 7.2334
angles (deg): 90.00 90.00 120.00
Closest atoms and distances in Å follow each position.
Space group P6/mmm (No. 191)
Symmetry-distinct sites (fractional):
Ac1 0.0000 0.0000 0.0000 (multiplicity 1)  12 Ag 3.29
Ga1 0.3333 0.6667 0.5000 (multiplicity 2)  6 Ag 2.72
Ag1 0.0000 0.5000 0.2062 (multiplicity 6)  2 Ga 2.72, 5 Ag 2.93-2.98

***

[12]
VASP calculation (PBE) on a geometry-optimized Ac2Ga5Ag structure.

## Properties
Energy, eV for the cell shown: -58.78

a b c (Å): 6.4596 6.4596 9.6743
angles (deg): 90.00 90.00 90.00
Closest atoms and distances in Å follow each position.
Space group I4mm (No. 107)
Symmetry-distinct sites (fractional):
Ac1 0.0000 0.5000 0.0000 (multiplicity 4)  10 Ga 3.25-3.36
Ga1 0.0000 0.0000 0.4609 (multiplicity 2)  1 Ag 2.75, 4 Ga 2.76
Ga2 0.2048 0.2048 0.2511 (multiplicity 8)  3 Ga 2.65-2.76, 1 Ag 2.70
Ag1 0.0000 0.0000 0.7453 (multiplicity 2)  5 Ga 2.70-2.75

***

[13]
VASP calculation (PBE) on a geometry-optimized Ac7Ga2Ag2 structure.

## Properties
Energy, eV for the cell shown: -81.70

a b c (Å): 8.4210 12.0087 7.9737
angles (deg): 90.00 90.00 90.00
Closest atoms and distances in Å follow each position.
Space group Cmmm (No. 65)
Symmetry-distinct sites (fractional):
Ac1 0.0000 0.0000 0.0000 (multiplicity 2)  2 Ag 3.53
Ac2 0.0000 0.5000 0.2751 (multiplicity 4)  2 Ag 3.30, 2 Ga 3.41, 5 Ac 3.59-3.67
Ac3 0.2500 0.2500 0.2849 (multiplicity 8)  2 Ag 3.14, 1 Ac 3.43
Ga1 0.1554 0.0000 0.5000 (multiplicity 4)  1 Ga 2.62
Ag1 0.0000 0.2943 0.0000 (multiplicity 4)  6 Ac 3.14-3.30

***

[14]
VASP calculation (PBE) on a geometry-optimized Ac3GaAg2 structure.

## Properties
Energy, eV for the cell shown: -23.00

a b c (Å): 5.5771 5.5771 6.8714
angles (deg): 90.00 90.00 120.00
Closest atoms and distances in Å follow each position.
Space group P-3m1 (No. 164)
Symmetry-distinct sites (fractional):
Ac1 0.0000 0.0000 0.0000 (multiplicity 1)  6 Ag 3.43, 2 Ga 3.44
Ac2 0.3333 0.6667 0.6665 (multiplicity 2)  5 Ag 3.41-3.46, 3 Ga 3.42
Ga1 0.0000 0.0000 0.5000 (multiplicity 1)  8 Ac 3.42-3.44
Ag1 0.3333 0.6667 0.1701 (multiplicity 2)  8 Ac 3.41-3.46

***

[15]
VASP calculation (PBE) on a geometry-optimized Ac2Ga4Ag3 structure.

## Properties
Energy, eV for the cell shown: -127.57

a b c (Å): 6.1328 16.3937 8.1806
angles (deg): 90.00 90.00 90.00
Closest atoms and distances in Å follow each position.
Space group Cmce (No. 64)
Symmetry-distinct sites (fractional):
Ac1 0.0000 0.1111 0.0920 (multiplicity 8)  8 Ga 3.30-3.59, 6 Ag 3.38-3.68
Ga1 0.0000 0.1757 0.4915 (multiplicity 8)  5 Ag 2.73-3.00
Ga2 0.2500 0.0590 0.7500 (multiplicity 8)  3 Ag 2.69-2.73
Ag1 0.0000 0.0000 0.5000 (multiplicity 4)  6 Ga 2.73-2.88
Ag2 0.2500 0.2233 0.7500 (multiplicity 8)  5 Ga 2.69-3.00

***

[16]
VASP calculation (PBE) on a geometry-optimized Ac8GaAg2 structure.

## Properties
Energy, eV for the cell shown: -86.11

a b c (Å): 19.9111 5.6795 7.6307
angles (deg): 90.00 107.98 90.00
Closest atoms and distances in Å follow each position.
Space group C2/m (No. 12)
Symmetry-distinct sites (fractional):
Ac1 0.0250 0.0000 0.2828 (multiplicity 4)  1 Ag 3.18, 2 Ga 3.40
Ac2 0.0911 0.5000 0.9592 (multiplicity 4)  1 Ga 3.41, 2 Ag 3.61, 2 Ac 3.77
Ac3 0.1691 0.5000 0.4881 (multiplicity 4)  3 Ag 3.16-3.50, 1 Ga 3.40
Ac4 0.1994 0.0000 0.8322 (multiplicity 4)  1 Ag 3.19
Ga1 0.0000 0.5000 0.5000 (multiplicity 2)  8 Ac 3.40-3.41
Ag1 0.1771 0.0000 0.2279 (multiplicity 4)  5 Ac 3.16-3.50

***

[17]
VASP calculation (PBE) on a geometry-optimized Ac4Ga3Ag structure.

## Properties
Energy, eV for the cell shown: -31.74

a b c (Å): 4.4766 4.7488 11.7341
angles (deg): 90.00 90.00 90.00
Closest atoms and distances in Å follow each position.
Space group Pmm2 (No. 25)
Symmetry-distinct sites (fractional):
Ac1 0.0000 0.0000 0.0000 (multiplicity 1)  5 Ga 3.38, 2 Ag 3.44
Ac2 0.0000 0.5000 0.4951 (multiplicity 1)  6 Ga 3.37-3.39, 1 Ag 3.44
Ac3 0.5000 0.0000 0.7136 (multiplicity 1)  4 Ag 3.38, 3 Ga 3.40-3.44
Ac4 0.5000 0.5000 0.2137 (multiplicity 1)  7 Ga 3.38-3.43
Ga1 0.0000 0.0000 0.2884 (multiplicity 1)  2 Ga 2.75
Ga2 0.5000 0.0000 0.4240 (multiplicity 1)  2 Ga 2.75
Ga3 0.5000 0.5000 0.9259 (multiplicity 1)  2 Ag 2.76
Ag1 0.0000 0.5000 0.7881 (multiplicity 1)  2 Ga 2.76

***

[18]
VASP calculation (PBE) on a geometry-optimized Ac2Ga2Ag3 structure.

## Properties
Energy, eV for the cell shown: -48.91
ΔE to the lowest computed polymorph, eV per atom: 0.109

a b c (Å): 4.2548 19.7408 4.3772
angles (deg): 90.00 90.00 90.00
Closest atoms and distances in Å follow each position.
Space group Cmmm (No. 65)
Symmetry-distinct sites (fractional):
Ac1 0.0000 0.1583 0.0000 (multiplicity 4)  1 Ag 3.12, 6 Ga 3.24-3.35
Ga1 0.0000 0.2865 0.5000 (multiplicity 4)  2 Ga 2.57, 1 Ag 2.84
Ag1 0.0000 0.0000 0.0000 (multiplicity 2)  2 Ac 3.12, 8 Ag 3.35
Ag2 0.0000 0.4305 0.5000 (multiplicity 4)  1 Ag 2.74, 1 Ga 2.84

***

[19]
VASP calculation (PBE) on a geometry-optimized AcGa12Ag6 structure.

## Properties
Energy, eV for the cell shown: -176.58

a b c (Å): 11.6274 11.6274 9.7154
angles (deg): 90.00 90.00 120.00
Closest atoms and distances in Å follow each position.
Space group R-3m (No. 166, hexagonal axes)
Symmetry-distinct sites (fractional):
Ac1 0.0000 0.0000 0.0000 (multiplicity 3)  6 Ga 3.37
Ga1 0.0000 0.3940 0.5000 (multiplicity 18)  1 Ga 2.46, 2 Ag 2.62
Ga2 0.0815 0.1629 0.3025 (multiplicity 18)  4 Ag 2.76-2.93, 4 Ga 2.84-2.87
Ag1 0.0523 0.5262 0.2254 (multiplicity 18)  6 Ga 2.62-2.93

***

[20]
VASP calculation (PBE) on a geometry-optimized Ac2Ga3Ag6 structure.

## Properties
Energy, eV for the cell shown: -37.35

a b c (Å): 8.0196 8.0196 4.5304
angles (deg): 90.00 90.00 120.00
Closest atoms and distances in Å follow each position.
Space group P-62m (No. 189)
Symmetry-distinct sites (fractional):
Ac1 0.3333 0.6667 0.0000 (multiplicity 2)  9 Ag 3.33-3.65, 6 Ga 3.39
Ga1 0.0000 0.6254 0.5000 (multiplicity 3)  5 Ag 2.66-2.73
Ag1 0.0000 0.2912 0.5000 (multiplicity 3)  3 Ga 2.68-2.73
Ag2 0.0000 0.7985 0.0000 (multiplicity 3)  2 Ga 2.66, 2 Ag 2.80

***

Taking the records one at a time from the top gives formation energy from the elements values of -0.218, -0.484, -0.186, -0.008, -0.460, -0.172, -0.184, -0.424, -0.475, -0.267, 0.062, -0.398, -0.030, -0.324, -0.335, -0.133, -0.422, -0.233, -0.070, -0.268 eV/atom.